Tm2Ga3Fe14 | GGA-PBEsol | relaxed

Calculated values
For the volume, the calculation gives 12.7 Å³/atom. The value obtained for the energy of formation from the pure elements is -0.111 eV per atom. The space-group type is P6_3/mmc (194).

Unit cell a=8.299 b=8.299 c=8.107 alpha=90.00 beta=90.00 gamma=120.00
Fractional positions:
Tm1 0.000 0.000 0.250
Tm2 0.000 0.000 0.750
Tm3 0.333 0.667 0.250
Tm4 0.667 0.333 0.750
Ga1 0.000 0.500 0.000
Ga2 0.000 0.500 0.500
Ga3 0.500 0.000 0.000
Ga4 0.500 0.000 0.500
Ga5 0.500 0.500 0.000
Ga6 0.500 0.500 0.500
Fe1 0.027 0.348 0.750
Fe2 0.027 0.679 0.750
Fe3 0.164 0.328 0.014
Fe4 0.164 0.328 0.486
Fe5 0.164 0.836 0.014
Fe6 0.164 0.836 0.486
Fe7 0.321 0.348 0.750
Fe8 0.321 0.973 0.750
Fe9 0.328 0.164 0.514
Fe10 0.328 0.164 0.986
Fe11 0.333 0.667 0.612
Fe12 0.333 0.667 0.888
Fe13 0.348 0.027 0.250
Fe14 0.348 0.321 0.250
Fe15 0.652 0.679 0.750
Fe16 0.652 0.973 0.750
Fe17 0.667 0.333 0.112
Fe18 0.667 0.333 0.388
Fe19 0.672 0.836 0.014
Fe20 0.672 0.836 0.486
Fe21 0.679 0.027 0.250
Fe22 0.679 0.652 0.250
Fe23 0.836 0.164 0.514
Fe24 0.836 0.164 0.986
Fe25 0.836 0.672 0.514
Fe26 0.836 0.672 0.986
Fe27 0.973 0.321 0.250
Fe28 0.973 0.652 0.250